VASP calculation (PBE) on a relaxed SiTc2Os crystal.

Results
Magnetic moment in μB per formula unit: 0.00
Space-group type: Pm (6)

```
4
Lattice="-3.5294 0.1298 -1.8256 -1.2847 -0.2370 2.4669 -0.6975 4.9311 1.6991" Properties=species:S:1:pos:R:3 pbc="T T T"
Tc -1.8992 4.5532 3.9956
Si -3.0118 3.7389 1.7595
Os -1.2332 2.2888 2.5470
Tc -2.3407 1.2843 0.2875
```

***

VASP calculation (PBE) on a relaxed Si2TcOs2 crystal.

Results
Magnetic moment in μB per formula unit: 0.00
Space-group type: P4/mbm (127)

```
10
Lattice="-0.8411 -0.3089 -6.9366 6.4343 -2.6611 -0.6617 -1.0403 -2.5752 0.2408" Properties=species:S:1:pos:R:3 pbc="T T T"
Os 0.1909 -1.8079 -2.3719
Si 2.1656 -0.9906 -1.2378
Os 3.5670 -3.0801 -1.3923
Si 5.2053 -2.3863 -3.0318
Os 0.9859 -2.4651 -5.9652
Os 4.3619 -3.7373 -4.9856
Si 0.3878 -0.5837 -4.5665
Tc 2.7966 -1.4850 -3.7991
Tc 0.0000 0.0000 0.0000
Si 3.4275 -1.9794 -6.3605
```

***

VASP calculation (PBE) on a relaxed Si4Tc2Os crystal.

Results
Magnetic moment in μB per formula unit: 3.20
Space-group type: I4/mmm (139)

```
7
Lattice="-2.2245 3.5596 -1.8070 -2.6431 -2.8635 -2.3871 -6.4100 0.1927 2.4920" Properties=species:S:1:pos:R:3 pbc="T T T"
Tc -3.2864 0.3147 -1.1130
Si -4.8212 0.2548 0.6583
Si -6.4564 0.6340 -2.3604
Tc -7.9912 0.5740 -0.5891
Si -1.1122 1.7798 -0.9035
Os 0.0000 0.0000 0.0000
Si -1.3216 -1.4318 -1.1935
```

***

VASP calculation (PBE) on a relaxed SiTc2Os2 crystal.

Results
Magnetic moment in μB per formula unit: 0.00
Space-group type: P4/mbm (127)

```
10
Lattice="7.4989 0.0000 0.0000 0.0000 7.4989 0.0000 0.0000 0.0000 2.7813" Properties=species:S:1:pos:R:3 pbc="T T T"
Tc 6.2699 4.9784 0.0000
Si 3.7494 3.7494 0.0000
Tc 1.2289 2.5205 0.0000
Os 0.9536 4.7030 1.3906
Os 2.7958 0.9536 1.3906
Os 6.5452 2.7958 1.3906
Si 0.0000 0.0000 0.0000
Tc 4.9784 1.2289 0.0000
Os 4.7030 6.5452 1.3906
Tc 2.5205 6.2699 0.0000
```

***

VASP calculation (PBE) on a relaxed SiTc3Os crystal.

Results
Magnetic moment in μB per formula unit: 0.00
Space-group type: Pm-3m (221)

```
5
Lattice="4.3132 0.0000 0.0000 0.0000 4.3132 0.0000 0.0000 0.0000 4.3132" Properties=species:S:1:pos:R:3 pbc="T T T"
Tc 0.0000 0.0000 2.1566
Tc 0.0000 2.1566 0.0000
Si 0.0000 0.0000 0.0000
Os 2.1566 2.1566 2.1566
Tc 2.1566 0.0000 0.0000
```

***

VASP calculation (PBE) on a relaxed SiTc2Os crystal.

Results
Magnetic moment in μB per formula unit: 0.00
Space-group type: Pmm2 (25)

```
4
Lattice="-1.6521 -0.4893 -2.2299 -2.7755 -1.3122 2.3442 -1.9427 4.7993 0.3862" Properties=species:S:1:pos:R:3 pbc="T T T"
Tc -2.6567 0.1934 0.1452
Tc -0.0145 0.0359 0.0029
Si -3.6424 2.6284 0.3412
Os -1.0281 2.5398 0.2044
```

***

VASP calculation (PBE) on a relaxed SiTc2Os2 crystal.

Results
Magnetic moment in μB per formula unit: 0.00
Space-group type: I4/mmm (139)

```
5
Lattice="-1.8135 1.3813 2.6036 -2.8591 -1.5669 -1.1601 -0.9448 -5.4560 4.5364" Properties=species:S:1:pos:R:3 pbc="T T T"
Tc -2.0646 -1.1399 1.4665
Si 0.0000 0.0000 0.0000
Os -3.0701 -3.5578 2.0490
Os -2.5473 -2.0837 3.9308
Tc -3.5528 -4.5016 4.5133
```

***

VASP calculation (PBE) on a relaxed SiTc2Os crystal.

Results
Magnetic moment in μB per formula unit: 0.00
Space-group type: P4/mmm (123)

```
4
Lattice="-0.8232 3.6692 -0.3135 -0.0410 -0.3303 -3.7588 -3.8550 -0.8549 0.1171" Properties=species:S:1:pos:R:3 pbc="T T T"
Tc -0.4321 1.6695 -2.0361
Os -2.3391 1.4072 -0.0982
Tc 0.0000 0.0000 0.0000
Si -1.9480 -0.5926 -1.8208
```

***

VASP calculation (PBE) on a relaxed SiTc2Os crystal.

Results
Magnetic moment in μB per formula unit: 0.00
Space-group type: Cmmm (65)

```
4
Lattice="-0.0828 5.5541 1.5414 -1.5934 -1.1064 -4.3207 -2.4523 1.2175 0.5964" Properties=species:S:1:pos:R:3 pbc="T T T"
Si -0.8381 2.2238 -1.3896
Tc 0.0000 0.0000 0.0000
Tc -1.2676 3.3858 1.0689
Os -2.0228 0.0556 -1.8622
```

***

VASP calculation (PBE) on a relaxed SiTc2Os crystal.

Results
Magnetic moment in μB per formula unit: 0.00
Space-group type: R-3m (166)

```
4
Lattice="-0.8352 2.2230 8.2576 -2.7284 0.1988 8.1452 -0.0601 -0.4205 8.5818" Properties=species:S:1:pos:R:3 pbc="T T T"
Os -0.9059 0.5003 6.2461
Tc -0.0098 0.0054 0.0677
Si -2.7178 1.5010 18.7384
Tc -1.8020 0.9952 12.4245
```

***

VASP calculation (PBE) on a relaxed SiTc2Os crystal.

Results
Magnetic moment in μB per formula unit: 0.40
Space-group type: P4/mmm (123)

```
4
Lattice="4.4071 0.0000 0.0000 0.0000 4.4071 0.0000 0.0000 0.0000 2.9009" Properties=species:S:1:pos:R:3 pbc="T T T"
Si 0.0000 2.2036 1.4504
Tc 0.0000 0.0000 0.0000
Tc 2.2036 2.2036 0.0000
Os 2.2036 0.0000 1.4504
```

***

VASP calculation (PBE) on a relaxed SiTc3Os crystal.

Results
Magnetic moment in μB per formula unit: 1.88
Space-group type: Pm-3m (221)

```
5
Lattice="-3.7121 0.8346 2.7382 1.6541 -3.0342 3.1673 2.3363 3.4744 2.1082" Properties=species:S:1:pos:R:3 pbc="T T T"
Tc -1.8560 0.4173 1.3691
Si 0.1392 0.6374 4.0068
Os 0.0000 0.0000 0.0000
Tc 0.8271 -1.5171 1.5836
Tc 1.1681 1.7372 1.0541
```

***

| no. | electronic total energy (eV per atom) | D(E_F) (states/eV per cell) | uncorrected formation energy (meV/atom) |
| --- | --- | --- | --- |
| 1 | -9.4931 | 2.6 | -147 |
| 2 | -8.8599 | 7.1 | -126 |
| 3 | -7.0234 | 5.5 | 641 |
| 4 | -9.3292 | 8.4 | 394 |
| 5 | -8.4642 | 6.3 | 1086 |
| 6 | -9.3813 | 3.9 | -35 |
| 7 | -9.1490 | 5.4 | 574 |
| 8 | -9.1928 | 5.9 | 153 |
| 9 | -9.3363 | 3.1 | 10 |
| 10 | -9.4148 | 5.4 | -69 |
| 11 | -9.3020 | 4.2 | 44 |
| 12 | -7.6758 | 7.1 | 1874 |